No. 1
Compound: VNi5P6O24
Source: Alexandria via LeMat-Bulk
Functional: PBEsol
Structure: optimized geometry

```
VNi5P6O24
1.0
4.197 2.423 6.639
-4.197 2.423 6.639
0.000 -4.847 6.639
V Ni P O
1 5 6 24
direct
0.000 0.000 0.000
0.219 0.219 0.219
0.357 0.357 0.357
0.496 0.496 0.496
0.717 0.717 0.717
0.858 0.858 0.858
0.107 0.404 0.817
0.318 0.898 0.604
0.404 0.817 0.107
0.604 0.318 0.898
0.817 0.107 0.404
0.898 0.604 0.318
0.025 0.239 0.878
0.101 0.437 0.312
0.107 0.935 0.765
0.166 0.374 0.981
0.239 0.878 0.025
0.269 0.394 0.620
0.312 0.101 0.437
0.337 0.738 0.550
0.374 0.981 0.166
0.394 0.620 0.269
0.437 0.312 0.101
0.473 0.867 0.676
0.550 0.337 0.738
0.609 0.793 0.948
0.620 0.269 0.394
0.676 0.473 0.867
0.738 0.550 0.337
0.765 0.107 0.935
0.793 0.948 0.609
0.867 0.676 0.473
0.878 0.025 0.239
0.935 0.765 0.107
0.948 0.609 0.793
0.981 0.166 0.374
```

Calculated values
Symmetry: R3 (146)
E_form (uncorrected): -1.64 eV per atom

=====

No. 2
Compound: V2NiP2O10
Source: Alexandria via LeMat-Bulk
Functional: PBEsol
Structure: optimized geometry

```
V2NiP2O10
1.0
6.314 0.000 0.000
0.000 7.232 0.000
-0.070 0.000 7.306
V Ni P O
4 2 4 20
direct
0.247 0.224 0.166
0.247 0.276 0.666
0.753 0.724 0.334
0.753 0.776 0.834
0.500 0.000 0.500
0.500 0.500 0.000
0.248 0.624 0.373
0.248 0.876 0.873
0.752 0.124 0.127
0.752 0.376 0.627
0.050 0.745 0.358
0.050 0.755 0.858
0.247 0.508 0.548
0.247 0.992 0.048
0.273 0.162 0.384
0.273 0.338 0.884
0.274 0.003 0.703
0.274 0.497 0.203
0.440 0.742 0.876
0.440 0.758 0.376
0.560 0.242 0.624
0.560 0.258 0.124
0.726 0.503 0.797
0.726 0.997 0.297
0.727 0.662 0.116
0.727 0.838 0.616
0.753 0.008 0.952
0.753 0.492 0.452
0.950 0.245 0.142
0.950 0.255 0.642
```

Calculated values
Symmetry: P2_1/c (14)
E_form (uncorrected): -2.08 eV per atom

=====

No. 3
Compound: V3NiP6O24
Source: Alexandria via LeMat-Bulk
Functional: PBEsol
Structure: optimized geometry

```
V3NiP6O24
1.0
4.124 2.381 7.146
-4.124 2.381 7.146
0.000 -4.762 7.146
V Ni P O
3 1 6 24
direct
0.000 0.000 0.000
0.217 0.217 0.217
0.723 0.723 0.723
0.505 0.505 0.505
0.117 0.826 0.391
0.330 0.614 0.883
0.391 0.117 0.826
0.614 0.883 0.330
0.826 0.391 0.117
0.883 0.330 0.614
0.023 0.372 0.103
0.050 0.331 0.410
0.050 0.868 0.234
0.103 0.023 0.372
0.129 0.765 0.960
0.234 0.050 0.868
0.318 0.667 0.370
0.331 0.410 0.050
0.336 0.636 0.691
0.370 0.318 0.667
0.372 0.103 0.023
0.410 0.050 0.331
0.494 0.657 0.860
0.593 0.955 0.766
0.636 0.691 0.336
0.657 0.860 0.494
0.667 0.370 0.318
0.691 0.336 0.636
0.765 0.960 0.129
0.766 0.593 0.955
0.860 0.494 0.657
0.868 0.234 0.050
0.955 0.766 0.593
0.960 0.129 0.765
```

Calculated values
Symmetry: R3 (146)
E_form (uncorrected): -2.06 eV per atom

=====

No. 4
Compound: V2NiP3O12
Source: Alexandria via LeMat-Bulk
Functional: PBEsol
Structure: optimized geometry

```
V2NiP3O12
1.0
4.247 2.452 6.743
-4.247 2.452 6.743
0.000 -4.904 6.743
V Ni P O
4 2 6 24
direct
0.140 0.140 0.140
0.360 0.360 0.360
0.640 0.640 0.640
0.860 0.860 0.860
0.000 0.000 0.000
0.500 0.500 0.500
0.042 0.750 0.458
0.250 0.542 0.958
0.458 0.042 0.750
0.542 0.958 0.250
0.750 0.458 0.042
0.958 0.250 0.542
0.001 0.183 0.380
0.057 0.912 0.258
0.088 0.742 0.943
0.120 0.317 0.499
0.183 0.380 0.001
0.242 0.588 0.443
0.258 0.057 0.912
0.317 0.499 0.120
0.380 0.001 0.183
0.412 0.557 0.758
0.443 0.242 0.588
0.499 0.120 0.317
0.501 0.880 0.683
0.557 0.758 0.412
0.588 0.443 0.242
0.620 0.999 0.817
0.683 0.501 0.880
0.742 0.943 0.088
0.758 0.412 0.557
0.817 0.620 0.999
0.880 0.683 0.501
0.912 0.258 0.057
0.943 0.088 0.742
0.999 0.817 0.620
```

Calculated values
Symmetry: R-3c (167)
E_form (uncorrected): -2.07 eV per atom

=====

No. 5
Compound: V3Ni2P6WO24
Source: Alexandria via LeMat-Bulk
Functional: PBEsol
Structure: optimized geometry

```
V3Ni2P6WO24
1.0
4.285 2.474 6.806
-4.285 2.474 6.806
0.000 -4.948 6.806
V Ni P W O
3 2 6 1 24
direct
0.000 0.000 0.000
0.221 0.221 0.221
0.720 0.720 0.720
0.359 0.359 0.359
0.860 0.860 0.860
0.103 0.402 0.827
0.317 0.906 0.613
0.402 0.827 0.103
0.613 0.317 0.906
0.827 0.103 0.402
0.906 0.613 0.317
0.499 0.499 0.499
0.047 0.240 0.858
0.100 0.450 0.302
0.121 0.913 0.772
0.177 0.361 0.980
0.240 0.858 0.047
0.268 0.423 0.624
0.302 0.100 0.450
0.361 0.980 0.177
0.363 0.741 0.544
0.423 0.624 0.268
0.450 0.302 0.100
0.479 0.859 0.677
0.544 0.363 0.741
0.600 0.806 0.946
0.624 0.268 0.423
0.677 0.479 0.859
0.741 0.544 0.363
0.772 0.121 0.913
0.806 0.946 0.600
0.858 0.047 0.240
0.859 0.677 0.479
0.913 0.772 0.121
0.946 0.600 0.806
0.980 0.177 0.361
```

Calculated values
Symmetry: R3 (146)
E_form (uncorrected): -2.01 eV per atom

=====

No. 6
Compound: YNiPO2
Source: Alexandria via LeMat-Bulk
Functional: PBEsol
Structure: optimized geometry

```
YNiPO2
1.0
4.045 0.000 0.000
0.000 4.045 0.000
0.000 0.000 5.818
Y Ni P O
1 1 1 2
direct
0.000 0.000 0.000
0.500 0.500 0.500
0.000 0.000 0.500
0.000 0.500 0.000
0.500 0.000 0.000
```

Calculated values
Symmetry: P4/mmm (123)
E_form (uncorrected): -0.26 eV per atom

=====

No. 7
Compound: ZnNiP2O7
Source: Alexandria via LeMat-Bulk
Functional: PBEsol
Structure: optimized geometry

```
ZnNiP2O7
1.0
6.939 0.000 0.000
0.000 8.275 0.000
-3.618 0.000 8.203
Zn Ni P O
4 4 8 28
direct
0.196 0.055 0.319
0.196 0.445 0.819
0.804 0.555 0.181
0.804 0.945 0.681
0.273 0.076 0.891
0.273 0.424 0.391
0.727 0.576 0.609
0.727 0.924 0.109
0.027 0.728 0.967
0.027 0.772 0.467
0.442 0.730 0.261
0.442 0.770 0.761
0.558 0.230 0.239
0.558 0.270 0.739
0.973 0.228 0.533
0.973 0.272 0.033
0.025 0.090 0.658
0.025 0.410 0.158
0.056 0.608 0.400
0.056 0.892 0.900
0.131 0.236 0.453
0.131 0.264 0.953
0.246 0.670 0.102
0.246 0.830 0.602
0.379 0.240 0.299
0.379 0.260 0.799
0.394 0.612 0.823
0.394 0.888 0.323
0.481 0.589 0.382
0.481 0.911 0.882
0.519 0.089 0.118
0.519 0.411 0.618
0.606 0.112 0.677
0.606 0.388 0.177
0.621 0.740 0.201
0.621 0.760 0.701
0.754 0.170 0.398
0.754 0.330 0.898
0.869 0.736 0.047
0.869 0.764 0.547
0.944 0.108 0.100
0.944 0.392 0.600
0.975 0.590 0.842
0.975 0.910 0.342
```

Calculated values
Symmetry: P2_1/c (14)
Energy above the most stable polymorph in this dataset: 0 meV per atom
E_form (uncorrected): -1.80 eV per atom

=====

No. 8
Compound: ZnNiP2O7
Source: Alexandria via LeMat-Bulk
Functional: PBEsol
Structure: optimized geometry

```
ZnNiP2O7
1.0
5.510 0.000 0.000
1.965 5.978 0.000
0.302 0.888 7.226
Zn Ni P O
2 2 4 14
direct
0.178 0.345 0.341
0.822 0.655 0.659
0.239 0.840 0.800
0.761 0.160 0.200
0.267 0.804 0.391
0.311 0.314 0.905
0.689 0.686 0.095
0.733 0.196 0.609
0.105 0.048 0.327
0.107 0.644 0.429
0.141 0.553 0.833
0.195 0.130 0.885
0.408 0.308 0.101
0.435 0.720 0.218
0.438 0.792 0.556
0.562 0.208 0.444
0.565 0.280 0.782
0.592 0.692 0.899
0.805 0.870 0.115
0.859 0.447 0.167
0.893 0.356 0.571
0.895 0.952 0.673
```

Calculated values
Symmetry: P-1 (2)
Energy above the most stable polymorph in this dataset: 13 meV per atom
E_form (uncorrected): -1.79 eV per atom

=====

| no. | calculated volume (A^3/atom) | raw total energy (eV per atom) |
| --- | --- | --- |
| 1 | 11.3 | -7.23 |
| 2 | 11.1 | -8.04 |
| 3 | 12.4 | -7.82 |
| 4 | 11.7 | -7.95 |
| 5 | 12.0 | -8.00 |
| 6 | 19.0 | -6.11 |
| 7 | 10.7 | -6.90 |
| 8 | 10.8 | -6.89 |